(1)
AlRuBr2 after structural relaxation. Source: the Alexandria database, functional GGA-PBEsol.

E (Ry/atom): -0.337

Lattice parameters (Å, degrees): 3.383 4.346 7.256 97.01 90.00 112.91
Element x y z (fractional)
Br 0.327 0.654 0.332
Ru 0.455 0.910 0.672
Br 0.990 0.979 0.917
Al 0.729 0.458 0.580



(2)
Cr2BiSb after structural relaxation. Source: the Alexandria database, functional GGA-PBEsol.

E (Ry/atom): -0.483

Lattice parameters (Å, degrees): 4.747 4.747 9.312 104.77 104.77 90.00
Element x y z (fractional)
Cr 0.125 0.146 0.750
Cr 0.396 0.875 0.250
Sb 0.500 0.500 0.000
Sb 0.750 0.250 0.500
Bi 0.000 0.000 0.000
Bi 0.250 0.750 0.500
Cr 0.854 0.375 0.250
Cr 0.625 0.604 0.750



(3)
TlSb2Pt after structural relaxation. Source: the Alexandria database, functional GGA-PBEsol.

E (Ry/atom): -0.362

Lattice parameters (Å, degrees): 4.114 4.105 7.635 74.40 74.37 59.93
Element x y z (fractional)
Sb 0.274 0.277 0.174
Pt 0.665 0.666 0.003
Sb 0.057 0.056 0.830
Tl 0.504 0.500 0.492



(4)
Te2MoS after structural relaxation. Source: the Alexandria database, functional GGA-PBEsol.

E (Ry/atom): -0.360

Lattice parameters (Å, degrees): 3.226 3.226 9.652 80.38 80.38 60.00
Element x y z (fractional)
Mo 0.000 0.000 0.000
S 0.500 0.500 0.500
Te 0.908 0.908 0.277
Te 0.092 0.092 0.723



(5)
CaPPt after structural relaxation. Source: the Alexandria database, functional GGA-PBEsol.

E (Ry/atom): -0.411
Formation energy (eV per atom): -0.635

Lattice parameters (Å, degrees): 4.324 4.324 4.324 60.00 60.00 60.00
Element x y z (fractional)
P 0.250 0.250 0.250
Pt 0.000 0.000 0.000
Ca 0.500 0.500 0.500



(6)
BaMo2Ru after structural relaxation. Source: the Alexandria database, functional GGA-PBEsol.

E (Ry/atom): -0.573
Formation energy (eV per atom): 1.169

Lattice parameters (Å, degrees): 4.682 4.682 4.682 60.00 60.00 60.00
Element x y z (fractional)
Mo 0.000 0.000 0.000
Ba 0.500 0.500 0.500
Mo 0.750 0.750 0.750
Ru 0.250 0.250 0.250



Number 1: size of the total moment 0.0 μB per formula unit. Number 2: size of the total moment 8.1 μB per formula unit. Number 3: size of the total moment 0.0 μB per formula unit. Number 4: size of the total moment 0.0 μB per formula unit. Number 5: size of the total moment 0.0 μB per formula unit. Number 6: size of the total moment 0.0 μB per formula unit.